1.
Compound: Tb4Pr4Tm3
Source: Alexandria via LeMat-Bulk
Functional: GGA-PBE
Structure: relaxed

a = 3.557 Å, b = 5.662 Å, c = 18.384 Å
α = 98.86°, β = 95.60°, γ = 90.01°
Sites, in units of the cell vectors:
Pr (0.723, 0.721, 0.441)
Pr (0.277, 0.279, 0.559)
Tm (0.867, 0.371, 0.742)
Tm (0.133, 0.629, 0.258)
Tb (0.815, 0.819, 0.637)
Pr (0.402, 0.905, 0.810)
Pr (0.598, 0.095, 0.190)
Tb (0.546, 0.543, 0.087)
Tb (0.185, 0.181, 0.363)
Tm (0.000, 0.000, 0.000)
Tb (0.454, 0.457, 0.913)

Calculated values
SG = No. 12
ΔH_f (0 K) = 30 meV per atom



2.
Compound: Tb2Pr3Tm7
Source: Alexandria via LeMat-Bulk
Functional: GGA-PBE
Structure: relaxed

a = 3.522 Å, b = 6.318 Å, c = 17.913 Å
α = 75.84°, β = 90.00°, γ = 90.00°
Sites, in units of the cell vectors:
Tm (0.500, 0.248, 0.500)
Tm (0.000, 0.000, 0.000)
Tm (0.500, 0.941, 0.835)
Tm (0.500, 0.059, 0.165)
Tm (0.500, 0.752, 0.500)
Pr (0.000, 0.887, 0.659)
Tm (0.000, 0.434, 0.835)
Tm (0.000, 0.566, 0.165)
Pr (0.000, 0.113, 0.341)
Pr (0.500, 0.500, 0.000)
Tb (0.500, 0.620, 0.325)
Tb (0.500, 0.380, 0.675)

Calculated values
SG = No. 10
ΔH_f (0 K) = 94 meV per atom



Sequential DOS at the Fermi energy output: 18.23, 17.50 states/eV per cell
Sequential magnetic moment output: 0.0005, 0.0000 μB/atom